Record 1
A plane-wave DFT calculation with GGA-PBE was carried out for a geometry-optimized Na2In2BiO6 structure.

E_form (uncorrected) in eV per atom: -1.416
Calculated volume in A^3/atom: 15.00
Energy in eV per atom: -5.2110

CIF file:
```
data_Na2In2BiO6
_chemical_formula_sum 'Na2 In2 Bi1 O6'
_symmetry_space_group_name_H-M 'P 1'
_symmetry_Int_Tables_number 1
_cell_length_a 5.786
_cell_length_b 5.786
_cell_length_c 6.010
_cell_angle_alpha 99.46
_cell_angle_beta 99.46
_cell_angle_gamma 119.78
loop_
_symmetry_equiv_pos_as_xyz
'x,y,z'
loop_
_atom_site_label
_atom_site_fract_x
_atom_site_fract_y
_atom_site_fract_z
Na1 0.826 0.174 0.000
Na2 0.174 0.826 0.000
In1 0.335 0.665 0.500
In2 0.665 0.335 0.500
Bi1 0.000 0.000 0.500
O1 0.736 0.736 0.703
O2 0.059 0.406 0.705
O3 0.264 0.264 0.297
O4 0.406 0.059 0.705
O5 0.941 0.594 0.295
O6 0.594 0.941 0.295
```

***

Record 2
A plane-wave DFT calculation with GGA-PBE was carried out for a geometry-optimized NaPaInBi structure.

Calculated volume in A^3/atom: 27.60
ΔH_f (0 K) in eV per atom: 0.07
Energy in eV per atom: -4.2852

CIF file:
```
data_NaPaInBi
_chemical_formula_sum 'Na1 Pa1 In1 Bi1'
_symmetry_space_group_name_H-M 'P 1'
_symmetry_Int_Tables_number 1
_cell_length_a 5.385
_cell_length_b 5.385
_cell_length_c 5.385
_cell_angle_alpha 60.00
_cell_angle_beta 60.00
_cell_angle_gamma 60.00
loop_
_symmetry_equiv_pos_as_xyz
'x,y,z'
loop_
_atom_site_label
_atom_site_fract_x
_atom_site_fract_y
_atom_site_fract_z
Na1 0.500 0.500 0.500
Pa1 0.000 0.000 0.000
Bi1 0.750 0.750 0.750
In1 0.250 0.250 0.250
```

***

Record 3
A plane-wave DFT calculation with GGA-PBE was carried out for a geometry-optimized NaIn5BiPb2 structure.

Calculated volume in A^3/atom: 28.92
ΔH_f (0 K) in eV per atom: -0.03
Energy in eV per atom: -2.9554

CIF file:
```
data_NaIn5BiPb2
_chemical_formula_sum 'Na2 In10 Bi2 Pb4'
_symmetry_space_group_name_H-M 'P 1'
_symmetry_Int_Tables_number 1
_cell_length_a 4.975
_cell_length_b 7.270
_cell_length_c 15.320
_cell_angle_alpha 90.00
_cell_angle_beta 90.00
_cell_angle_gamma 110.01
loop_
_symmetry_equiv_pos_as_xyz
'x,y,z'
loop_
_atom_site_label
_atom_site_fract_x
_atom_site_fract_y
_atom_site_fract_z
Na1 0.585 0.170 0.926
Na2 0.415 0.830 0.426
In1 0.418 0.836 0.096
In2 0.753 0.507 0.752
In3 0.415 0.830 0.754
In4 0.252 0.503 0.595
In5 0.917 0.834 0.591
In6 0.582 0.164 0.596
In7 0.247 0.493 0.252
In8 0.585 0.170 0.254
In9 0.748 0.497 0.095
In10 0.083 0.166 0.091
Bi1 0.747 0.493 0.426
Bi2 0.253 0.507 0.926
Pb1 0.910 0.819 0.926
Pb2 0.084 0.168 0.758
Pb3 0.090 0.181 0.426
Pb4 0.916 0.832 0.258
```

***

Record 4
A plane-wave DFT calculation with GGA-PBE was carried out for a geometry-optimized NaIn2BiPb structure.

Calculated volume in A^3/atom: 31.80
ΔH_f (0 K) in eV per atom: 0.03
Energy in eV per atom: -2.8503

CIF file:
```
data_NaIn2BiPb
_chemical_formula_sum 'Na2 In4 Bi2 Pb2'
_symmetry_space_group_name_H-M 'P 1'
_symmetry_Int_Tables_number 1
_cell_length_a 5.985
_cell_length_b 5.871
_cell_length_c 9.515
_cell_angle_alpha 107.97
_cell_angle_beta 90.00
_cell_angle_gamma 90.00
loop_
_symmetry_equiv_pos_as_xyz
'x,y,z'
loop_
_atom_site_label
_atom_site_fract_x
_atom_site_fract_y
_atom_site_fract_z
Na1 0.250 0.652 0.303
Na2 0.750 0.348 0.697
In1 0.500 0.250 0.000
In2 0.000 0.750 0.000
In3 0.500 0.750 0.000
In4 0.000 0.250 0.000
Bi1 0.750 0.749 0.499
Bi2 0.250 0.251 0.501
Pb1 0.250 0.841 0.683
Pb2 0.750 0.159 0.317
```

***

Record 5
A plane-wave DFT calculation with GGA-PBE was carried out for a geometry-optimized NaIn2Bi2Pb2 structure.

Calculated volume in A^3/atom: 32.05
ΔH_f (0 K) in eV per atom: -0.04
Energy in eV per atom: -3.1834

CIF file:
```
data_NaIn2Bi2Pb2
_chemical_formula_sum 'Na1 In2 Bi2 Pb2'
_symmetry_space_group_name_H-M 'P 1'
_symmetry_Int_Tables_number 1
_cell_length_a 4.674
_cell_length_b 5.880
_cell_length_c 10.096
_cell_angle_alpha 115.71
_cell_angle_beta 90.00
_cell_angle_gamma 113.42
loop_
_symmetry_equiv_pos_as_xyz
'x,y,z'
loop_
_atom_site_label
_atom_site_fract_x
_atom_site_fract_y
_atom_site_fract_z
Na1 0.000 0.000 0.500
In1 0.765 0.530 0.626
In2 0.235 0.470 0.374
Bi1 0.517 0.034 0.753
Bi2 0.483 0.966 0.247
Pb1 0.724 0.447 0.120
Pb2 0.276 0.553 0.880
```

***

Record 6
A plane-wave DFT calculation with GGA-PBE was carried out for a geometry-optimized NaInBiPb2 structure.

Calculated volume in A^3/atom: 35.06
ΔH_f (0 K) in eV per atom: -0.02
Energy in eV per atom: -3.0924

CIF file:
```
data_NaInBiPb2
_chemical_formula_sum 'Na2 In2 Bi2 Pb4'
_symmetry_space_group_name_H-M 'P 1'
_symmetry_Int_Tables_number 1
_cell_length_a 6.987
_cell_length_b 6.973
_cell_length_c 7.997
_cell_angle_alpha 115.85
_cell_angle_beta 90.00
_cell_angle_gamma 90.00
loop_
_symmetry_equiv_pos_as_xyz
'x,y,z'
loop_
_atom_site_label
_atom_site_fract_x
_atom_site_fract_y
_atom_site_fract_z
Na1 0.750 0.766 0.531
Na2 0.250 0.234 0.469
In1 0.250 0.868 0.736
In2 0.750 0.132 0.264
Bi1 0.250 0.662 0.325
Bi2 0.750 0.338 0.675
Pb1 0.500 0.260 0.000
Pb2 0.000 0.740 0.000
Pb3 0.500 0.740 0.000
Pb4 0.000 0.260 0.000
```

***

Record 7
A plane-wave DFT calculation with GGA-PBE was carried out for a geometry-optimized NaIn3Bi4Pb2 structure.

Calculated volume in A^3/atom: 33.21
ΔH_f (0 K) in eV per atom: 0.05
Energy in eV per atom: -3.2003

CIF file:
```
data_NaIn3Bi4Pb2
_chemical_formula_sum 'Na1 In3 Bi4 Pb2'
_symmetry_space_group_name_H-M 'P 1'
_symmetry_Int_Tables_number 1
_cell_length_a 4.661
_cell_length_b 4.661
_cell_length_c 15.289
_cell_angle_alpha 90.00
_cell_angle_beta 90.00
_cell_angle_gamma 90.00
loop_
_symmetry_equiv_pos_as_xyz
'x,y,z'
loop_
_atom_site_label
_atom_site_fract_x
_atom_site_fract_y
_atom_site_fract_z
Na1 0.500 0.500 0.500
In1 0.000 0.000 0.500
In2 0.500 0.000 0.850
In3 0.000 0.500 0.150
Bi1 0.500 0.500 0.000
Bi2 0.000 0.000 0.000
Bi3 0.500 0.000 0.649
Bi4 0.000 0.500 0.351
Pb1 0.500 0.000 0.284
Pb2 0.000 0.500 0.716
```

***

Record 8
A plane-wave DFT calculation with GGA-PBE was carried out for a geometry-optimized NaInBiPb structure.

Calculated volume in A^3/atom: 30.22
ΔH_f (0 K) in eV per atom: -0.07
Energy in eV per atom: -2.9844

CIF file:
```
data_NaInBiPb
_chemical_formula_sum 'Na1 In1 Bi1 Pb1'
_symmetry_space_group_name_H-M 'P 1'
_symmetry_Int_Tables_number 1
_cell_length_a 5.550
_cell_length_b 5.550
_cell_length_c 5.550
_cell_angle_alpha 60.00
_cell_angle_beta 60.00
_cell_angle_gamma 60.00
loop_
_symmetry_equiv_pos_as_xyz
'x,y,z'
loop_
_atom_site_label
_atom_site_fract_x
_atom_site_fract_y
_atom_site_fract_z
Pb1 0.500 0.500 0.500
Na1 0.000 0.000 0.000
Bi1 0.750 0.750 0.750
In1 0.250 0.250 0.250
```

***

Record 9
A plane-wave DFT calculation with GGA-PBE was carried out for a geometry-optimized NaInBi2Pb structure.

Calculated volume in A^3/atom: 34.40
ΔH_f (0 K) in eV per atom: 0.42
Energy in eV per atom: -2.6828

CIF file:
```
data_NaInBi2Pb
_chemical_formula_sum 'Na1 In1 Bi2 Pb1'
_symmetry_space_group_name_H-M 'P 1'
_symmetry_Int_Tables_number 1
_cell_length_a 5.604
_cell_length_b 5.477
_cell_length_c 5.604
_cell_angle_alpha 90.00
_cell_angle_beta 90.00
_cell_angle_gamma 90.00
loop_
_symmetry_equiv_pos_as_xyz
'x,y,z'
loop_
_atom_site_label
_atom_site_fract_x
_atom_site_fract_y
_atom_site_fract_z
Pb1 0.500 0.500 0.500
Na1 0.000 0.000 0.000
Bi1 0.000 0.000 0.500
Bi2 0.500 0.000 0.000
In1 0.000 0.500 0.000
```

***

Record 10
A plane-wave DFT calculation with GGA-PBE was carried out for a geometry-optimized Na2InBi2Pb2 structure.

Calculated volume in A^3/atom: 31.92
ΔH_f (0 K) in eV per atom: -0.11
Energy in eV per atom: -3.0457

CIF file:
```
data_Na2InBi2Pb2
_chemical_formula_sum 'Na2 In1 Bi2 Pb2'
_symmetry_space_group_name_H-M 'P 1'
_symmetry_Int_Tables_number 1
_cell_length_a 4.684
_cell_length_b 5.943
_cell_length_c 9.530
_cell_angle_alpha 111.59
_cell_angle_beta 90.00
_cell_angle_gamma 113.21
loop_
_symmetry_equiv_pos_as_xyz
'x,y,z'
loop_
_atom_site_label
_atom_site_fract_x
_atom_site_fract_y
_atom_site_fract_z
Na1 0.489 0.978 0.792
Na2 0.511 0.022 0.208
In1 0.000 0.000 0.500
Bi1 0.777 0.555 0.131
Bi2 0.223 0.445 0.869
Pb1 0.731 0.462 0.621
Pb2 0.269 0.538 0.379
```

***

Record 11
A plane-wave DFT calculation with GGA-PBE was carried out for a geometry-optimized Na2PmInBi2 structure.

Calculated volume in A^3/atom: 29.60
ΔH_f (0 K) in eV per atom: -0.39
Energy in eV per atom: -3.3717

CIF file:
```
data_Na2PmInBi2
_chemical_formula_sum 'Na4 Pm2 In2 Bi4'
_symmetry_space_group_name_H-M 'P 1'
_symmetry_Int_Tables_number 1
_cell_length_a 5.151
_cell_length_b 7.009
_cell_length_c 9.837
_cell_angle_alpha 90.00
_cell_angle_beta 90.00
_cell_angle_gamma 90.00
loop_
_symmetry_equiv_pos_as_xyz
'x,y,z'
loop_
_atom_site_label
_atom_site_fract_x
_atom_site_fract_y
_atom_site_fract_z
Na1 0.500 0.012 0.003
Na2 0.000 0.267 0.151
Na3 0.500 0.512 0.997
Na4 0.000 0.767 0.849
Pm1 0.000 0.004 0.497
Pm2 0.000 0.504 0.503
In1 0.500 0.244 0.655
In2 0.500 0.744 0.345
Bi1 0.000 0.263 0.820
Bi2 0.500 0.256 0.334
Bi3 0.000 0.763 0.180
Bi4 0.500 0.756 0.666
```

***

Record 12
A plane-wave DFT calculation with GGA-PBE was carried out for a geometry-optimized NaPmInBi structure.

Calculated volume in A^3/atom: 29.39
ΔH_f (0 K) in eV per atom: -0.32
Energy in eV per atom: -3.4971

CIF file:
```
data_NaPmInBi
_chemical_formula_sum 'Na1 Pm1 In1 Bi1'
_symmetry_space_group_name_H-M 'P 1'
_symmetry_Int_Tables_number 1
_cell_length_a 5.499
_cell_length_b 5.499
_cell_length_c 5.499
_cell_angle_alpha 60.00
_cell_angle_beta 60.00
_cell_angle_gamma 60.00
loop_
_symmetry_equiv_pos_as_xyz
'x,y,z'
loop_
_atom_site_label
_atom_site_fract_x
_atom_site_fract_y
_atom_site_fract_z
Na1 0.000 0.000 0.000
In1 0.250 0.250 0.250
Bi1 0.750 0.750 0.750
Pm1 0.500 0.500 0.500
```

***

Please write out number 11 again, unchanged.
A plane-wave DFT calculation with GGA-PBE was carried out for a geometry-optimized Na2PmInBi2 structure.

Calculated volume in A^3/atom: 29.60
ΔH_f (0 K) in eV per atom: -0.39
Energy in eV per atom: -3.3717

CIF file:
```
data_Na2PmInBi2
_chemical_formula_sum 'Na4 Pm2 In2 Bi4'
_symmetry_space_group_name_H-M 'P 1'
_symmetry_Int_Tables_number 1
_cell_length_a 5.151
_cell_length_b 7.009
_cell_length_c 9.837
_cell_angle_alpha 90.00
_cell_angle_beta 90.00
_cell_angle_gamma 90.00
loop_
_symmetry_equiv_pos_as_xyz
'x,y,z'
loop_
_atom_site_label
_atom_site_fract_x
_atom_site_fract_y
_atom_site_fract_z
Na1 0.500 0.012 0.003
Na2 0.000 0.267 0.151
Na3 0.500 0.512 0.997
Na4 0.000 0.767 0.849
Pm1 0.000 0.004 0.497
Pm2 0.000 0.504 0.503
In1 0.500 0.244 0.655
In2 0.500 0.744 0.345
Bi1 0.000 0.263 0.820
Bi2 0.500 0.256 0.334
Bi3 0.000 0.763 0.180
Bi4 0.500 0.756 0.666
```